Arrangement P

# Mn3HOs | the Alexandria database | PBE-GGA | optimized geometry
data_Mn3HOs
_chemical_formula_sum 'Mn12 H4 Os4'
_cell_length_a 8.2699
_cell_length_b 3.6859
_cell_length_c 7.4027
_cell_angle_alpha 90.00
_cell_angle_beta 116.57
_cell_angle_gamma 90.00
_space_group_name_H-M_alt 'C 1 2/m 1'
_space_group_IT_number 12
loop_
_space_group_symop_operation_xyz
'x,y,z'
'-x,-y,-z'
'-x,y,-z'
'x,-y,z'
'x+1/2,y+1/2,z'
'-x+1/2,-y+1/2,-z'
'-x+1/2,y+1/2,-z'
'x+1/2,-y+1/2,z'
loop_
_atom_site_label
_atom_site_type_symbol
_atom_site_fract_x
_atom_site_fract_y
_atom_site_fract_z
Mn1 Mn 0.1263 0.0000 0.4371
Mn2 Mn 0.1277 0.5000 0.6952
Mn3 Mn 0.1325 0.5000 0.1975
H1 H 0.1227 0.5000 0.4496
Os1 Os 0.1231 0.0000 0.9333
# total magnetization: 0.090 μB per atom


Arrangement Q

# Mn3HOs | the Alexandria database | PBE-GGA | optimized geometry
data_Mn3HOs
_chemical_formula_sum 'Mn12 H4 Os4'
_cell_length_a 4.2247
_cell_length_b 4.2247
_cell_length_c 17.1978
_cell_angle_alpha 90.00
_cell_angle_beta 90.00
_cell_angle_gamma 90.00
_space_group_name_H-M_alt 'I -4 m 2'
_space_group_IT_number 119
_space_group_name_Hall 'I -4 -2'
loop_
_atom_site_label
_atom_site_type_symbol
_atom_site_fract_x
_atom_site_fract_y
_atom_site_fract_z
Mn1 Mn 0.0000 0.0000 0.1714
Mn2 Mn 0.0000 0.2464 0.6203
H1 H 0.0000 0.5000 0.1356
Os1 Os 0.0000 0.0000 0.5000
Os2 Os 0.0000 0.5000 0.7500
# total magnetization: 0.331 μB per atom


We find arrangement P to be the most stable, with the next structure 121.4 kJ/mol of atoms higher.


Arrangement P

# Ac2La3Pr | the Alexandria database | PBE-GGA | optimized geometry
data_Ac2La3Pr
_chemical_formula_sum 'Ac4 La6 Pr2'
_cell_length_a 5.4164
_cell_length_b 8.5281
_cell_length_c 11.4291
_cell_angle_alpha 98.68
_cell_angle_beta 103.68
_cell_angle_gamma 108.39
_space_group_name_H-M_alt 'P -1'
_space_group_IT_number 2
loop_
_space_group_symop_operation_xyz
'x,y,z'
'-x,-y,-z'
loop_
_atom_site_label
_atom_site_type_symbol
_atom_site_fract_x
_atom_site_fract_y
_atom_site_fract_z
Ac1 Ac 0.1604 0.4521 0.3686
Ac2 Ac 0.1686 0.2053 0.6316
La1 La 0.1633 0.7088 0.1177
La2 La 0.1711 0.9613 0.8811
La3 La 0.4956 0.3713 0.1195
Pr1 Pr 0.4966 0.1225 0.3705
# total magnetization: 0.000 μB per atom


Arrangement Q

# Ac2La3Pr | the Alexandria database | PBE-GGA | optimized geometry
data_Ac2La3Pr
_chemical_formula_sum 'Ac4 La6 Pr2'
_cell_length_a 7.4029
_cell_length_b 17.4024
_cell_length_c 3.7254
_cell_angle_alpha 90.00
_cell_angle_beta 90.00
_cell_angle_gamma 90.00
_space_group_name_H-M_alt 'P n n m'
_space_group_IT_number 58
loop_
_space_group_symop_operation_xyz
'x,y,z'
'-x,-y,-z'
'-x,-y,z'
'x,y,-z'
'x+1/2,-y+1/2,-z+1/2'
'-x+1/2,y+1/2,z+1/2'
'-x+1/2,y+1/2,-z+1/2'
'x+1/2,-y+1/2,z+1/2'
loop_
_atom_site_label
_atom_site_type_symbol
_atom_site_fract_x
_atom_site_fract_y
_atom_site_fract_z
Ac1 Ac 0.2493 0.1619 0.0000
La1 La 0.0000 0.5000 0.0000
La2 La 0.2486 0.8510 0.0000
Pr1 Pr 0.0000 0.0000 0.5000
# total magnetization: 0.000 μB per atom


We find arrangement P to be the most stable, with the next structure 9.7 kJ/mol of atoms higher.